Density functional theory data (PBE) for Mg2CdCl after structural relaxation.

Unit cell a=7.4661 b=7.4661 c=7.4661 alpha=90.00 beta=90.00 gamma=90.00
Space group F-43m (No. 216)
Symmetry-distinct sites (fractional):
Mg: 0.0000 0.0000 0.0000 [4 per cell]
Mg: 0.2500 0.2500 0.2500 [4 per cell]
Cd: 0.0000 0.0000 0.5000 [4 per cell]
Cl: 0.2500 0.2500 0.7500 [4 per cell]

Values from the calculation:
E_form (uncorrected) ... -0.232 eV per formula unit
Volume ... 104.0 Å³/f.u.
Total energy ... -1.546 eV per atom
Energy relative to the lowest polymorph listed for this composition ... 512 meV per atom
Fermi-level density of states ... 2.01 states/eV/f.u.